An optimized crystal structure of GaFe2. Source: Alexandria via LeMat-Bulk, functional PBE.

Unit cell a=2.6524 b=2.6524 c=6.3523 alpha=90.00 beta=90.00 gamma=120.00
Sites, in units of the cell vectors:
Ga1 0.0000 0.0000 0.0000
Fe1 0.3333 0.6667 0.6666
Fe2 0.6667 0.3333 0.3334

Calculated values
DFT formation energy, eV/atom: 0.09
VASP energy, eV per atom: -6.5629
Magnetic moment, Bohr magnetons per cell: 4.88

=====

An optimized crystal structure of GaFe. Source: Alexandria via LeMat-Bulk, functional PBE.

Unit cell a=6.3769 b=6.3769 c=6.3769 alpha=92.90 beta=92.90 gamma=154.02
Sites, in units of the cell vectors:
Ga1 0.1554 0.1554 0.3108
Ga2 0.1554 0.8446 0.0000
Ga3 0.8446 0.1554 0.0000
Ga4 0.8446 0.8446 0.6892
Fe1 0.1613 0.5000 0.6613
Fe2 0.5000 0.1613 0.6613
Fe3 0.5000 0.8387 0.3387
Fe4 0.8387 0.5000 0.3387

Calculated values
DFT formation energy, eV/atom: -0.07
VASP energy, eV per atom: -5.8106
Magnetic moment, Bohr magnetons per cell: 8.71

=====

The lowest VASP energy belongs to which entry? GaFe2